[1]
First-principles (PBE-GGA) data for a relaxed structure of AgSbPCl2, as listed in the Alexandria database.

DOS(E_F) (states/eV/f.u.): 3.181
Uncorrected formation energy (meV per atom): 403
SG: P4/mmm, No. 123
Distance to the lowest polymorph of the same formula (kJ/mol of formula units): 62

abc: 4.8415 4.8415 5.1802
angles: 90.00 90.00 90.00
Positions (direct):
1 Ag 0.0000 0.0000 0.0000
2 Sb 0.5000 0.5000 0.5000
3 P 0.0000 0.0000 0.5000
4 Cl 0.0000 0.5000 0.0000
5 Cl 0.5000 0.0000 0.0000

***

[2]
First-principles (PBE-GGA) data for a relaxed structure of CrPb, as listed in the Alexandria database.

DOS(E_F) (states/eV/f.u.): 2.068
SG: P4_2/mnm, No. 136
ΔE_f (kJ/mol of atoms): 96.0

abc: 6.1009 6.1009 5.2624
angles: 90.00 90.00 90.00
Positions (direct):
1 Cr 0.1090 0.1090 0.0000
2 Cr 0.3910 0.6090 0.5000
3 Cr 0.6090 0.3910 0.5000
4 Cr 0.8910 0.8910 0.0000
5 Pb 0.1894 0.1894 0.5000
6 Pb 0.3106 0.6894 0.0000
7 Pb 0.6894 0.3106 0.0000
8 Pb 0.8106 0.8106 0.5000

***

[3]
First-principles (PBE-GGA) data for a relaxed structure of Sc2NiAg, as listed in the Alexandria database.

DOS(E_F) (states/eV/f.u.): 3.277
SG: I-4m2, No. 119
ΔE_f (kJ/mol of atoms): -15.7

abc: 5.2451 5.2451 5.2451
angles: 134.76 134.76 65.90
Positions (direct):
1 Sc 0.0000 0.0000 0.0000
2 Sc 0.7500 0.2500 0.5000
3 Ni 0.5000 0.5000 0.0000
4 Ag 0.2500 0.7500 0.5000

***

Per-record total magnetization, μB per formula unit: 0.000, 0.000, 0.000